Entry 1:
# PBEsol ZrGeMo, relaxed
data_ZrGeMo
_chemical_formula_sum 'Zr4 Ge4 Mo4'
_cell_length_a 6.9902
_cell_length_b 3.5310
_cell_length_c 8.2867
_cell_angle_alpha 90.00
_cell_angle_beta 90.00
_cell_angle_gamma 90.00
_symmetry_space_group_name_H-M 'P n m a'
_symmetry_Int_Tables_number 62
loop_
_symmetry_equiv_pos_as_xyz
'x,y,z'
'-x,-y,-z'
'-x+1/2,-y,z+1/2'
'x+1/2,y,-z+1/2'
'x+1/2,-y+1/2,-z+1/2'
'-x+1/2,y+1/2,z+1/2'
'-x,y+1/2,-z'
'x,-y+1/2,z'
loop_
_atom_site_label
_atom_site_fract_x
_atom_site_fract_y
_atom_site_fract_z
Zr1 0.0483 0.2500 0.1671
Ge1 0.2493 0.7500 0.3609
Mo1 0.1270 0.2500 0.5602
# ΔH_f (0 K): -0.647 eV/atom
# total energy: -9.246 eV per atom



Entry 2:
# PBEsol Zr2Ge2Mo, relaxed
data_Zr2Ge2Mo
_chemical_formula_sum 'Zr4 Ge4 Mo2'
_cell_length_a 6.7749
_cell_length_b 6.7749
_cell_length_c 3.7937
_cell_angle_alpha 90.00
_cell_angle_beta 90.00
_cell_angle_gamma 90.00
_symmetry_space_group_name_H-M 'P 4/m b m'
_symmetry_Int_Tables_number 127
_symmetry_space_group_name_Hall '-P 4 2ab'
loop_
_atom_site_label
_atom_site_fract_x
_atom_site_fract_y
_atom_site_fract_z
Zr1 0.1730 0.3270 0.0000
Ge1 0.1320 0.6320 0.5000
Mo1 0.0000 0.0000 0.5000
# ΔH_f (0 K): -0.740 eV/atom
# total energy: -8.705 eV per atom